Entry 1:
Material: Er4TcRh
Method: DFT, GGA-PBE
State: relaxed

Unit cell a=4.283 b=7.435 c=17.853 alpha=90.00 beta=90.00 gamma=90.00
Positions (direct):
Tc (0.750, 0.751, 0.061)
Tc (0.750, 0.251, 0.439)
Tc (0.250, 0.249, 0.939)
Tc (0.250, 0.749, 0.561)
Er (0.750, 0.899, 0.650)
Er (0.250, 0.601, 0.150)
Er (0.750, 0.989, 0.927)
Er (0.750, 0.434, 0.280)
Er (0.750, 0.852, 0.453)
Er (0.750, 0.934, 0.220)
Er (0.750, 0.352, 0.047)
Er (0.250, 0.148, 0.547)
Er (0.250, 0.011, 0.073)
Er (0.750, 0.489, 0.573)
Er (0.250, 0.066, 0.780)
Er (0.250, 0.511, 0.427)
Er (0.250, 0.101, 0.350)
Er (0.250, 0.648, 0.953)
Er (0.250, 0.566, 0.720)
Er (0.750, 0.399, 0.850)
Rh (0.250, 0.233, 0.203)
Rh (0.750, 0.267, 0.703)
Rh (0.250, 0.733, 0.297)
Rh (0.750, 0.767, 0.797)

Summary:
Calculated formation energy (eV/atom): -0.4064
Magnetic moment (μB/cell): 0.000
Polymorph energy (0 for the lowest one) (meV/atom): 0
Volume (Å³/cell): 568.5


Entry 2:
Material: NaTmRh4
Method: DFT, GGA-PBE
State: relaxed

Unit cell a=5.269 b=5.269 c=5.269 alpha=60.00 beta=60.00 gamma=60.00
Positions (direct):
Rh (0.625, 0.625, 0.125)
Rh (0.625, 0.125, 0.625)
Rh (0.125, 0.625, 0.625)
Rh (0.625, 0.625, 0.625)
Na (0.000, 0.000, 0.000)
Tm (0.250, 0.250, 0.250)

Summary:
Calculated formation energy (eV/atom): -0.3452
Magnetic moment (μB/cell): 0.011
Volume (Å³/cell): 103.4


Entry 3:
Material: NpCoSe
Method: DFT, GGA-PBE
State: relaxed

Unit cell a=3.929 b=5.555 c=8.382 alpha=123.55 beta=76.45 gamma=69.30
Positions (direct):
Co (0.394, 0.051, 0.661)
Co (0.606, 0.949, 0.339)
Np (0.341, 0.535, 0.283)
Np (0.659, 0.465, 0.717)
Se (0.121, 0.042, 0.215)
Se (0.879, 0.958, 0.785)

Summary:
Formation energy (no corrections) (eV/atom): -0.47
Magnetic moment (μB/cell): 5.988
Volume (Å³/cell): 119.0


Entry 4:
Material: Rb2BaSc3F12
Method: DFT, GGA-PBE
State: relaxed

Unit cell a=7.672 b=7.672 c=7.672 alpha=61.11 beta=61.11 gamma=61.11
Positions (direct):
Ba (0.000, 0.000, 0.000)
F (0.875, 0.875, 0.424)
F (0.125, 0.576, 0.125)
F (0.724, 0.121, 0.724)
F (0.724, 0.724, 0.121)
F (0.125, 0.125, 0.576)
F (0.276, 0.276, 0.879)
F (0.879, 0.276, 0.276)
F (0.424, 0.875, 0.875)
F (0.875, 0.424, 0.875)
F (0.276, 0.879, 0.276)
F (0.121, 0.724, 0.724)
F (0.576, 0.125, 0.125)
Rb (0.621, 0.621, 0.621)
Rb (0.379, 0.379, 0.379)
Sc (0.000, 0.500, 0.000)
Sc (0.500, 0.000, 0.000)
Sc (0.000, 0.000, 0.500)

Summary:
Formation energy (no corrections) (eV/atom): -3.60
Magnetic moment (μB/cell): 1.016
Volume (Å³/cell): 327.3


Entry 5:
Material: Cs2LaCeO4
Method: DFT, GGA-PBE
State: relaxed

Unit cell a=3.741 b=6.486 c=7.287 alpha=107.32 beta=90.00 gamma=90.00
Positions (direct):
Cs (0.000, 0.500, 0.500)
Cs (0.500, 0.000, 0.500)
O (0.500, 0.770, 0.838)
O (0.000, 0.287, 0.836)
O (0.500, 0.230, 0.162)
O (0.000, 0.713, 0.164)
La (0.000, 0.000, 0.000)
Ce (0.500, 0.500, 0.000)

Summary:
Formation energy (no corrections) (eV/atom): -2.55
Magnetic moment (μB/cell): 0.796
Volume (Å³/cell): 168.8


Entry 6:
Material: CeYTe2
Method: DFT, GGA-PBE
State: relaxed

Unit cell a=3.835 b=5.408 c=5.408 alpha=90.00 beta=90.00 gamma=90.00
Positions (direct):
Te (0.000, 0.500, 0.000)
Te (0.000, 0.000, 0.500)
Y (0.500, 0.500, 0.500)
Ce (0.500, 0.000, 0.000)

Summary:
Formation energy (no corrections) (eV/atom): -1.22
Magnetic moment (μB/cell): 2.202
Polymorph energy (0 for the lowest one) (meV/atom): 135
Volume (Å³/cell): 112.1


Entry 7:
Material: La12Pm5Pr2
Method: DFT, GGA-PBE
State: relaxed

Unit cell a=11.965 b=10.999 c=6.376 alpha=100.51 beta=90.00 gamma=122.95
Positions (direct):
Pm (0.681, 0.363, 0.855)
Pm (0.000, 0.000, 0.500)
Pm (0.787, 0.574, 0.446)
Pm (0.319, 0.637, 0.145)
Pm (0.213, 0.426, 0.554)
La (0.852, 0.211, 0.621)
La (0.148, 0.789, 0.379)
La (0.543, 0.606, 0.797)
La (0.063, 0.606, 0.797)
La (0.117, 0.233, 0.000)
La (0.457, 0.394, 0.203)
La (0.641, 0.789, 0.379)
La (0.359, 0.211, 0.621)
La (0.446, 0.892, 0.729)
La (0.883, 0.767, 0.000)
La (0.937, 0.394, 0.203)
La (0.554, 0.108, 0.271)
Pr (0.233, 0.000, 0.000)
Pr (0.767, 0.000, 0.000)

Summary:
Calculated formation energy (eV/atom): 0.0773
Magnetic moment (μB/cell): 0.000
Volume (Å³/cell): 687.3


Entry 8:
Material: RePd3Se
Method: DFT, GGA-PBE
State: relaxed

Unit cell a=4.811 b=4.811 c=4.811 alpha=90.00 beta=90.00 gamma=90.00
Positions (direct):
Pd (0.500, 0.000, 0.000)
Pd (0.000, 0.500, 0.000)
Pd (0.000, 0.000, 0.500)
Re (0.000, 0.000, 0.000)
Se (0.500, 0.500, 0.500)

Summary:
Formation energy (no corrections) (eV/atom): 1.27
Magnetic moment (μB/cell): 0.000
Polymorph energy (0 for the lowest one) (meV/atom): 275
Volume (Å³/cell): 111.3


Entry 9:
Material: Ac5Er
Method: DFT, GGA-PBE
State: relaxed

Unit cell a=5.537 b=5.525 c=8.768 alpha=108.36 beta=90.00 gamma=90.00
Positions (direct):
Ac (0.000, 0.663, 0.326)
Ac (0.500, 0.500, 0.000)
Ac (0.500, 0.836, 0.672)
Ac (0.000, 0.337, 0.674)
Ac (0.500, 0.164, 0.328)
Er (0.000, 0.000, 0.000)

Summary:
Calculated formation energy (eV/atom): 0.0412
Magnetic moment (μB/cell): 0.000
Polymorph energy (0 for the lowest one) (meV/atom): 0
Volume (Å³/cell): 254.6


Entry 10:
Material: TbHfZnFe
Method: DFT, GGA-PBE
State: relaxed

Unit cell a=4.725 b=4.725 c=4.725 alpha=60.00 beta=60.00 gamma=60.00
Positions (direct):
Fe (0.750, 0.750, 0.750)
Hf (0.500, 0.500, 0.500)
Zn (0.250, 0.250, 0.250)
Tb (0.000, 0.000, 0.000)

Summary:
Calculated formation energy (eV/atom): -0.0567
Magnetic moment (μB/cell): 0.310
Volume (Å³/cell): 74.6


Entry 11:
Material: Al2RhCl8
Method: DFT, GGA-PBE
State: relaxed

Unit cell a=6.075 b=7.595 c=7.595 alpha=77.81 beta=87.73 gamma=87.73
Positions (direct):
Cl (0.772, 0.633, 0.633)
Cl (0.790, 0.076, 0.733)
Cl (0.701, 0.186, 0.186)
Cl (0.210, 0.267, 0.924)
Cl (0.210, 0.924, 0.267)
Cl (0.790, 0.733, 0.076)
Cl (0.228, 0.367, 0.367)
Cl (0.299, 0.814, 0.814)
Al (0.346, 0.198, 0.198)
Al (0.654, 0.802, 0.802)
Rh (0.000, 0.000, 0.000)

Summary:
Formation energy (no corrections) (eV/atom): -1.19
Magnetic moment (μB/cell): 0.968
Volume (Å³/cell): 342.1


Entry 12:
Material: YMnW2
Method: DFT, GGA-PBE
State: relaxed

Unit cell a=4.538 b=4.538 c=4.538 alpha=60.00 beta=60.00 gamma=60.00
Positions (direct):
Y (0.500, 0.500, 0.500)
Mn (0.000, 0.000, 0.000)
W (0.250, 0.250, 0.250)
W (0.750, 0.750, 0.750)

Summary:
Calculated formation energy (eV/atom): 0.7269
Magnetic moment (μB/cell): 0.000
Polymorph energy (0 for the lowest one) (meV/atom): 391
Volume (Å³/cell): 66.1


Entry 13:
Material: NiMoBr2
Method: DFT, GGA-PBE
State: relaxed

Unit cell a=5.510 b=5.379 c=3.628 alpha=68.48 beta=93.31 gamma=122.12
Positions (direct):
Mo (0.000, 0.500, 0.500)
Ni (0.500, 0.500, 0.000)
Br (0.500, 0.000, 0.500)
Br (0.000, 0.000, 0.000)

Summary:
Formation energy (no corrections) (eV/atom): 0.80
Magnetic moment (μB/cell): 3.748
Polymorph energy (0 for the lowest one) (meV/atom): 759
Volume (Å³/cell): 83.4


Entry 14:
Material: SrIClO4
Method: DFT, GGA-PBE
State: relaxed

Unit cell a=6.637 b=6.637 c=7.429 alpha=78.41 beta=78.41 gamma=73.41
Positions (direct):
I (0.362, 0.362, 0.266)
I (0.638, 0.638, 0.734)
O (0.855, 0.503, 0.862)
O (0.532, 0.532, 0.250)
O (0.497, 0.145, 0.138)
O (0.145, 0.497, 0.138)
O (0.271, 0.271, 0.504)
O (0.503, 0.855, 0.862)
O (0.729, 0.729, 0.496)
O (0.468, 0.468, 0.750)
Cl (0.969, 0.969, 0.770)
Cl (0.031, 0.031, 0.230)
Sr (0.790, 0.790, 0.131)
Sr (0.210, 0.210, 0.869)

Summary:
Formation energy (no corrections) (eV/atom): -1.05
Magnetic moment (μB/cell): 0.000
Volume (Å³/cell): 303.6


Entry 15:
Material: Ce3Th2UN6
Method: DFT, GGA-PBE
State: relaxed

Unit cell a=6.205 b=6.205 c=6.185 alpha=99.68 beta=99.68 gamma=119.90
Positions (direct):
U (0.000, 0.000, 0.000)
N (0.077, 0.385, 0.232)
N (0.769, 0.769, 0.238)
N (0.385, 0.077, 0.232)
N (0.231, 0.231, 0.762)
N (0.923, 0.615, 0.768)
N (0.615, 0.923, 0.768)
Ce (0.167, 0.833, 0.500)
Ce (0.500, 0.500, 0.500)
Ce (0.833, 0.167, 0.500)
Th (0.666, 0.334, 0.000)
Th (0.334, 0.666, 0.000)

Summary:
Formation energy (no corrections) (eV/atom): -1.51
Magnetic moment (μB/cell): 0.001
Volume (Å³/cell): 194.4


Entry 16:
Material: La3Te2Ir
Method: DFT, GGA-PBE
State: relaxed

Unit cell a=7.886 b=7.886 c=13.888 alpha=100.83 beta=100.83 gamma=109.75
Positions (direct):
Ir (0.334, 0.834, 0.668)
Ir (0.084, 0.084, 0.168)
Ir (0.166, 0.666, 0.332)
Ir (0.916, 0.916, 0.832)
La (0.079, 0.059, 0.683)
La (0.309, 0.829, 0.183)
La (0.040, 0.540, 0.500)
La (0.646, 0.126, 0.817)
La (0.376, 0.396, 0.317)
La (0.941, 0.921, 0.317)
La (0.171, 0.691, 0.817)
La (0.210, 0.210, 0.000)
La (0.790, 0.790, 0.000)
La (0.604, 0.624, 0.683)
La (0.874, 0.354, 0.183)
La (0.460, 0.960, 0.500)
Te (0.672, 0.172, 0.344)
Te (0.422, 0.422, 0.844)
Te (0.578, 0.578, 0.156)
Te (0.828, 0.328, 0.656)
Te (0.506, 0.006, 0.011)
Te (0.994, 0.494, 0.989)
Te (0.256, 0.256, 0.511)
Te (0.744, 0.744, 0.489)

Summary:
Formation energy (no corrections) (eV/atom): -1.32
Magnetic moment (μB/cell): 0.000
Volume (Å³/cell): 768.2


Entry 17:
Material: BaTeP2
Method: DFT, GGA-PBE
State: relaxed

Unit cell a=6.786 b=6.786 c=8.071 alpha=65.14 beta=65.14 gamma=90.00
Positions (direct):
Te (0.500, 0.500, 0.000)
Te (0.250, 0.750, 0.500)
P (0.557, 0.125, 0.250)
P (0.193, 0.625, 0.250)
P (0.875, 0.807, 0.750)
P (0.375, 0.443, 0.750)
Ba (0.750, 0.250, 0.500)
Ba (0.000, 0.000, 0.000)

Summary:
Formation energy (no corrections) (eV/atom): -0.05
Magnetic moment (μB/cell): 0.000
Volume (Å³/cell): 298.8


Entry 18:
Material: CrRu2Se
Method: DFT, GGA-PBE
State: relaxed

Unit cell a=2.892 b=2.892 c=6.562 alpha=90.00 beta=90.00 gamma=90.00
Positions (direct):
Ru (0.500, 0.500, 0.265)
Ru (0.000, 0.000, 0.988)
Cr (0.500, 0.500, 0.732)
Se (0.000, 0.000, 0.516)

Summary:
Formation energy (no corrections) (eV/atom): 0.21
Magnetic moment (μB/cell): 0.000
Volume (Å³/cell): 54.9


Entry 19:
Material: KTiIn
Method: DFT, GGA-PBE
State: relaxed

Unit cell a=5.444 b=5.444 c=7.279 alpha=90.00 beta=90.00 gamma=90.00
Positions (direct):
In (0.000, 0.000, 0.500)
In (0.500, 0.500, 0.500)
Ti (0.000, 0.500, 0.419)
Ti (0.500, 0.000, 0.581)
K (0.500, 0.000, 0.118)
K (0.000, 0.500, 0.882)

Summary:
Calculated formation energy (eV/atom): 0.4628
Magnetic moment (μB/cell): 3.054
Polymorph energy (0 for the lowest one) (meV/atom): 422
Volume (Å³/cell): 215.8


Entry 20:
Material: Ta2HgRu
Method: DFT, GGA-PBE
State: relaxed

Unit cell a=4.554 b=2.945 c=5.432 alpha=80.46 beta=90.00 gamma=90.00
Positions (direct):
Ta (0.500, 0.243, 0.249)
Ta (0.000, 0.964, 0.962)
Ru (0.500, 0.643, 0.805)
Hg (0.000, 0.649, 0.484)

Summary:
Calculated formation energy (eV/atom): 0.1648
Magnetic moment (μB/cell): 0.000
Volume (Å³/cell): 71.8